--- a ---
A plane-wave DFT calculation with PBE was carried out for an optimized crystal structure of TaTe2W.

```
4
Lattice="1.7907 -2.5473 0.0000 1.7907 2.5473 0.0000 0.0000 0.0000 10.2277" Properties=species:S:1:pos:R:3 pbc="T T T"
Ta 0.0000 0.0000 0.0000
Te 0.0000 0.0000 6.0158
Te 1.7907 0.0000 2.2852
W 1.7907 0.0000 8.2794
```

Total moment in μB per cell: 0.00
DOS at the Fermi energy in states/eV/atom: 0.5048
Space group: No. 35

=====

--- b ---
A plane-wave DFT calculation with PBE was carried out for an optimized crystal structure of TaTe2W.

```
4
Lattice="-1.6869 2.1954 6.2790 1.6869 -2.1954 6.2790 1.6869 2.1954 -6.2790" Properties=species:S:1:pos:R:3 pbc="T T T"
Ta 0.0000 0.0000 0.0000
Te 0.0000 0.0000 4.8046
Te 0.0000 2.1954 1.8968
W 1.6869 0.0000 2.0503
```

Total moment in μB per cell: 0.00
DOS at the Fermi energy in states/eV/atom: 0.6211
Space group: No. 44

=====

--- c ---
A plane-wave DFT calculation with PBE was carried out for an optimized crystal structure of TaTe2W.

```
4
Lattice="3.3428 0.0000 0.0000 0.0000 4.5448 0.0000 0.0000 0.0000 5.4742" Properties=species:S:1:pos:R:3 pbc="T T T"
Ta 0.0000 0.0000 0.0000
Te 0.0000 2.2724 2.7371
Te 1.6714 2.2724 0.0000
W 1.6714 0.0000 2.7371
```

Total moment in μB per cell: 0.00
DOS at the Fermi energy in states/eV/atom: 0.9785
Space group: No. 47

=====

Most stable of them? a.

=====

--- a ---
A plane-wave DFT calculation with PBE was carried out for an optimized crystal structure of TaTe2W.

```
4
Lattice="1.6349 0.9439 8.6701 -1.6349 0.9439 8.6701 0.0000 -1.8878 8.6701" Properties=species:S:1:pos:R:3 pbc="T T T"
Ta 0.0000 0.0000 0.0000
Te 0.0000 0.0000 6.4353
Te 0.0000 0.0000 19.5751
W 0.0000 0.0000 13.0052
```

Total moment in μB per cell: 0.00
DOS at the Fermi energy in states/eV/atom: 1.0895
Space group: No. 166

=====

--- b ---
A plane-wave DFT calculation with PBE was carried out for an optimized crystal structure of TaTe2W.

```
4
Lattice="4.7138 0.0000 0.0000 0.0000 3.2720 0.0000 -2.2666 0.0000 5.1908" Properties=species:S:1:pos:R:3 pbc="T T T"
Ta 0.0000 0.0000 0.0000
Te 1.2236 0.0000 2.5954
Te 2.3569 1.6360 0.0000
W -1.1333 1.6360 2.5954
```

Total moment in μB per cell: 0.00
DOS at the Fermi energy in states/eV/atom: 0.5643
Space group: No. 10

=====

Most stable of them? b.

=====

--- a ---
A plane-wave DFT calculation with PBE was carried out for an optimized crystal structure of YTaTe2.

```
4
Lattice="1.8164 1.0487 9.9398 -1.8164 1.0487 9.9398 0.0000 -2.0974 9.9398" Properties=species:S:1:pos:R:3 pbc="T T T"
Y 0.0000 0.0000 0.0000
Ta 0.0000 0.0000 14.9097
Te 0.0000 0.0000 3.0971
Te 0.0000 0.0000 26.7223
```

Total moment in μB per cell: 0.00
DOS at the Fermi energy in states/eV/atom: 0.6661
Space group: No. 166

=====

--- b ---
A plane-wave DFT calculation with PBE was carried out for an optimized crystal structure of YTaTe2.

```
4
Lattice="0.0000 3.6853 3.6853 3.6853 0.0000 3.6853 3.6853 3.6853 0.0000" Properties=species:S:1:pos:R:3 pbc="T T T"
Y 0.0000 0.0000 0.0000
Ta 1.8427 1.8427 1.8427
Te 3.6853 3.6853 3.6853
Te 5.5280 5.5280 5.5280
```

Total moment in μB per cell: 1.91
DOS at the Fermi energy in states/eV/atom: 1.0163
Space group: No. 216

=====

--- c ---
A plane-wave DFT calculation with PBE was carried out for an optimized crystal structure of YTaTe2.

```
4
Lattice="5.2310 -1.8230 0.0000 5.2310 1.8230 0.0000 -1.1021 0.0000 5.0178" Properties=species:S:1:pos:R:3 pbc="T T T"
Y 0.0000 0.0000 0.0000
Ta 1.7019 0.0000 3.0401
Te 4.7291 0.0000 2.5457
Te 7.5617 0.0000 0.6359
```

Total moment in μB per cell: 0.00
DOS at the Fermi energy in states/eV/atom: 0.4217
Space group: No. 8

=====

--- d ---
A plane-wave DFT calculation with PBE was carried out for an optimized crystal structure of YTaTe2.

```
4
Lattice="4.6918 0.0000 0.0000 0.0000 3.7268 0.0000 -1.6951 0.0000 5.7912" Properties=species:S:1:pos:R:3 pbc="T T T"
Y 0.0000 0.0000 0.0000
Ta 1.4983 1.8634 2.8956
Te -0.8476 0.0000 2.8956
Te 2.3459 1.8634 0.0000
```

Total moment in μB per cell: 0.55
DOS at the Fermi energy in states/eV/atom: 1.0899
Space group: No. 10

=====

Most stable of them? c.

=====

--- a ---
A plane-wave DFT calculation with PBE was carried out for an optimized crystal structure of YTaTe2.

```
4
Lattice="4.2511 -1.8761 0.0000 4.2511 1.8761 0.0000 -1.6254 0.0000 6.2919" Properties=species:S:1:pos:R:3 pbc="T T T"
Y 0.0000 0.0000 0.0000
Ta 3.4384 0.0000 3.1460
Te 0.8836 0.0000 4.4999
Te 5.9933 0.0000 1.7920
```

Total moment in μB per cell: 0.00
DOS at the Fermi energy in states/eV/atom: 0.7284
Space group: No. 12

=====

--- b ---
A plane-wave DFT calculation with PBE was carried out for an optimized crystal structure of YTaTe2.

```
4
Lattice="3.5431 0.0000 0.0000 0.0000 3.5431 0.0000 0.0000 0.0000 7.3387" Properties=species:S:1:pos:R:3 pbc="T T T"
Y 0.0000 0.0000 0.0000
Ta 0.0000 0.0000 3.6693
Te 1.7715 1.7715 1.9970
Te 1.7715 1.7715 5.3416
```

Total moment in μB per cell: 0.00
DOS at the Fermi energy in states/eV/atom: 0.5863
Space group: No. 123

=====

Most stable of them? b.

=====

--- a ---
A plane-wave DFT calculation with PBE was carried out for an optimized crystal structure of Ta2ZnTe.

```
4
Lattice="1.5549 0.8977 9.0306 -1.5549 0.8977 9.0306 0.0000 -1.7954 9.0306" Properties=species:S:1:pos:R:3 pbc="T T T"
Ta 0.0000 0.0000 6.7379
Ta 0.0000 0.0000 20.3540
Zn 0.0000 0.0000 13.5459
Te 0.0000 0.0000 0.0000
```

Total moment in μB per cell: 0.00
DOS at the Fermi energy in states/eV/atom: 1.0781
Space group: No. 166

=====

--- b ---
A plane-wave DFT calculation with PBE was carried out for an optimized crystal structure of Ta2ZnTe.

```
4
Lattice="1.8160 -2.4352 0.0000 1.8160 2.4352 0.0000 0.0000 0.0000 9.6922" Properties=species:S:1:pos:R:3 pbc="T T T"
Ta 0.0000 0.0000 0.0000
Ta 1.8160 0.0000 2.1033
Zn 0.0000 0.0000 4.0837
Te 1.8160 0.0000 7.4619
```

Total moment in μB per cell: 0.00
DOS at the Fermi energy in states/eV/atom: 0.3193
Space group: No. 35

=====

--- c ---
A plane-wave DFT calculation with PBE was carried out for an optimized crystal structure of Ta2ZnTe.

```
4
Lattice="3.0709 0.0000 0.0000 0.0000 4.4477 0.0000 -0.9679 0.0000 5.4946" Properties=species:S:1:pos:R:3 pbc="T T T"
Ta 0.4967 0.0000 1.2989
Ta 1.6063 0.0000 4.1957
Zn 1.5354 2.2239 0.0000
Te -0.4839 2.2239 2.7473
```

Total moment in μB per cell: 0.00
DOS at the Fermi energy in states/eV/atom: 0.6059
Space group: No. 10

=====

--- d ---
A plane-wave DFT calculation with PBE was carried out for an optimized crystal structure of Ta2ZnTe.

```
4
Lattice="2.9163 -4.3677 0.0000 2.9163 4.3677 0.0000 -0.9687 0.0000 2.9434" Properties=species:S:1:pos:R:3 pbc="T T T"
Ta 1.4582 2.1838 0.0000
Ta 1.4582 -2.1838 0.0000
Zn -0.4843 0.0000 1.4717
Te 2.4320 0.0000 1.4717
```

Total moment in μB per cell: 0.00
DOS at the Fermi energy in states/eV/atom: 0.6355
Space group: No. 12

=====

Most stable of them? b.

=====

--- a ---
A plane-wave DFT calculation with PBE was carried out for an optimized crystal structure of Ta2ZnTe.

```
4
Lattice="3.5293 0.0000 0.0000 0.0000 3.5293 0.0000 0.0000 0.0000 6.0254" Properties=species:S:1:pos:R:3 pbc="T T T"
Ta 0.0000 0.0000 0.0000
Ta 1.7647 1.7647 1.4634
Zn 1.7647 1.7647 4.7583
Te 0.0000 0.0000 3.0256
```

Total moment in μB per cell: 0.00
DOS at the Fermi energy in states/eV/atom: 0.9265
Space group: No. 99

=====

--- b ---
A plane-wave DFT calculation with PBE was carried out for an optimized crystal structure of Ta2ZnTe.

```
4
Lattice="-1.7067 2.4322 4.4613 1.7067 -2.4322 4.4613 1.7067 2.4322 -4.4613" Properties=species:S:1:pos:R:3 pbc="T T T"
Ta 0.0000 0.0000 2.1908
Ta 0.0000 0.0000 6.7317
Zn 1.7067 0.0000 0.0000
Te 0.0000 2.4322 0.0000
```

Total moment in μB per cell: 0.00
DOS at the Fermi energy in states/eV/atom: 0.5315
Space group: No. 71

=====

Most stable of them? a.